No. 1
! Li2Tm2Zn15 | Alexandria via LeMat-Bulk | PBE-GGA | relaxed; values from VASP
! Magnetic moment = 0.0 μB/cell
! Calculated formation energy = -237 meV per atom
! Calculated density = 7.29 g/cm³
! SG = R-3m, No. 166
&SYSTEM
  ibrav = 0, nat = 19, ntyp = 3
/
ATOMIC_SPECIES
Li 6.94 Li.upf
Tm 168.93 Tm.upf
Zn 65.41 Zn.upf
ATOMIC_POSITIONS angstrom
Li 0.000 0.000 1.285
Li 0.000 0.000 11.747
Tm 0.000 0.000 4.436
Tm 0.000 0.000 8.597
Zn -4.492 0.000 6.516
Zn -1.343 -2.861 4.344
Zn -2.246 1.297 2.172
Zn -3.149 0.268 4.344
Zn -2.195 -1.268 6.330
Zn 1.343 -2.861 4.344
Zn -1.806 2.593 4.344
Zn 0.000 -2.535 6.703
Zn -2.195 1.268 6.703
Zn 2.246 1.297 2.172
Zn 2.195 -1.268 6.330
Zn 0.000 2.535 6.330
Zn 3.149 0.268 4.344
Zn 1.806 2.593 4.344
Zn 2.195 1.268 6.703
CELL_PARAMETERS angstrom
4.492 2.593 4.344
-4.492 2.593 4.344
0.000 -5.187 4.344



No. 2
! Th4Bi2AsOs | Alexandria via LeMat-Bulk | PBE-GGA | relaxed; values from VASP
! Magnetic moment = 0.0 μB/cell
! Calculated formation energy = -732 meV per atom
! Calculated density = 10.96 g/cm³
! SG = P2/m, No. 10
&SYSTEM
  ibrav = 0, nat = 8, ntyp = 4
/
ATOMIC_SPECIES
Th 232.04 Th.upf
Bi 208.98 Bi.upf
As 74.92 As.upf
Os 190.23 Os.upf
ATOMIC_POSITIONS angstrom
Th 1.153 0.000 1.519
Th -0.061 2.153 5.830
Th 5.179 2.153 1.613
Th 3.965 0.000 5.923
Bi -1.249 0.000 3.721
Bi 2.559 2.153 3.721
As 3.808 0.000 0.000
Os 0.000 2.153 0.000
CELL_PARAMETERS angstrom
7.617 0.000 0.000
0.000 4.307 0.000
-2.499 0.000 7.443



No. 3
! LaFe2Pb | Alexandria via LeMat-Bulk | PBE-GGA | relaxed; values from VASP
! Magnetic moment = 5.4 μB/cell
! Calculated formation energy = 423 meV per atom
! Calculated density = 8.72 g/cm³
! SG = I-4m2, No. 119
&SYSTEM
  ibrav = 0, nat = 4, ntyp = 3
/
ATOMIC_SPECIES
La 138.91 La.upf
Fe 55.84 Fe.upf
Pb 207.20 Pb.upf
ATOMIC_POSITIONS angstrom
La 0.000 0.000 0.000
Fe 0.000 0.000 3.500
Fe 0.000 2.495 1.750
Pb 2.495 0.000 1.750
CELL_PARAMETERS angstrom
-2.495 2.495 3.500
2.495 -2.495 3.500
2.495 2.495 -3.500



No. 4
! KTeIr2 | Alexandria via LeMat-Bulk | PBE-GGA | relaxed; values from VASP
! Magnetic moment = 1.1 μB/cell
! Raw formation energy = 0.90 eV/atom
! Calculated density = 11.34 g/cm³
! SG = Pmmm, No. 47
&SYSTEM
  ibrav = 0, nat = 4, ntyp = 3
/
ATOMIC_SPECIES
K 39.10 K.upf
Te 127.60 Te.upf
Ir 192.22 Ir.upf
ATOMIC_POSITIONS angstrom
K 0.000 0.000 0.000
Te 1.447 2.592 0.000
Ir 0.000 2.592 2.689
Ir 1.447 0.000 2.689
CELL_PARAMETERS angstrom
2.893 0.000 0.000
0.000 5.185 0.000
0.000 0.000 5.379



No. 5
! Zn5Te3I3 | Alexandria via LeMat-Bulk | PBE-GGA | relaxed; values from VASP
! Magnetic moment = 0.0 μB/cell
! Raw formation energy = -0.38 eV/atom
! Calculated density = 4.69 g/cm³
! SG = Pmm2, No. 25
&SYSTEM
  ibrav = 0, nat = 11, ntyp = 3
/
ATOMIC_SPECIES
Zn 65.41 Zn.upf
Te 127.60 Te.upf
I 126.90 I.upf
ATOMIC_POSITIONS angstrom
Zn 0.000 0.000 0.000
Zn 0.000 4.574 6.044
Zn 0.000 9.625 6.044
Zn 2.193 2.111 3.170
Zn 2.193 12.088 3.170
Te 0.000 2.226 4.696
Te 0.000 11.973 4.696
Te 2.193 0.000 1.553
I 0.000 7.100 5.149
I 2.193 4.416 1.680
I 2.193 9.784 1.680
CELL_PARAMETERS angstrom
4.387 0.000 0.000
0.000 14.199 0.000
0.000 0.000 6.194



No. 6
! CaBe2In2 | Alexandria via LeMat-Bulk | PBE-GGA | relaxed; values from VASP
! Relative energy among the computed polymorphs = 0 meV per atom
! Magnetic moment = 0.0 μB/cell
! Calculated formation energy = 63 meV per atom
! Calculated density = 4.75 g/cm³
! SG = I4/mmm, No. 139
&SYSTEM
  ibrav = 0, nat = 5, ntyp = 3
/
ATOMIC_SPECIES
Ca 40.08 Ca.upf
Be 9.01 Be.upf
In 114.82 In.upf
ATOMIC_POSITIONS angstrom
Ca 0.000 0.000 0.000
Be 2.136 0.000 2.754
Be 0.000 2.136 2.754
In 0.000 0.000 4.071
In 0.000 0.000 6.945
CELL_PARAMETERS angstrom
-2.136 2.136 5.508
2.136 -2.136 5.508
2.136 2.136 -5.508



Asked for energy across the records above, the calculation gives -0.141; -0.544; -0.439; -0.337; -0.164; -0.215 Ry/atom in order.